Below is a crystal of Nb2O2F3 relaxed with PBEsol, with properties calculated at the SCAN level.

Summary:
**E**: -0.5750 Ha/atom
**Volume**: 183.1 Å³ per cell
**ΔE_f (raw)**: -2.884 eV per atom

Cell and atoms, written as POSCAR:
```
Nb2O2F3
1.0
5.2030 0.0000 0.0000
-0.0016 5.7395 0.0000
-2.5917 -2.2148 6.1306
Nb O F
4 4 6
Cartesian
-0.0224 0.6765 1.1086 Nb
-0.0130 -0.0207 5.0219 Nb
2.6227 3.5454 1.1086 Nb
2.6321 2.8482 5.0220 Nb
-1.5054 -1.2044 5.5283 O
-1.0774 1.6659 5.5276 O
3.6871 1.8588 0.6030 O
4.1151 4.7291 0.6023 O
-0.7143 0.3279 3.0663 F
1.0304 2.3900 1.8027 F
1.5691 -0.4812 1.8008 F
1.0405 4.0059 4.3298 F
1.5793 1.1347 4.3279 F
3.3239 3.1967 3.0642 F
```